No. 1
! meta-GGA SCAN V6O7F5, PBEsol geometry; values from VASP
! - M_tot (μB per formula unit) = 11.00
! - space-group type = Pm (6)
! - offset from the most stable computed form (meV per atom) = 0
&SYSTEM
  ibrav = 0, nat = 18, ntyp = 3
/
ATOMIC_SPECIES
V 50.94 V.upf
O 16.00 O.upf
F 19.00 F.upf
CELL_PARAMETERS angstrom
4.625 0.000 0.000
0.000 8.829 0.000
-0.217 0.000 4.629
ATOMIC_POSITIONS crystal
V 0.000 0.000 0.000
V 0.016 0.325 0.050
V 0.016 0.675 0.050
V 0.492 0.181 0.586
V 0.492 0.819 0.586
V 0.505 0.500 0.553
O 0.200 0.166 0.852
O 0.200 0.834 0.852
O 0.302 0.334 0.353
O 0.302 0.666 0.353
O 0.685 0.000 0.737
O 0.707 0.336 0.764
O 0.707 0.664 0.764
F 0.206 0.500 0.853
F 0.289 0.000 0.353
F 0.797 0.164 0.254
F 0.797 0.836 0.254
F 0.809 0.500 0.257

No. 2
! meta-GGA SCAN Zn2GeI2, PBEsol geometry; values from VASP
! - M_tot (μB per formula unit) = 0.00
! - space-group type = I4/mmm (139)
! - total energy (eV/cell) = -118.3
&SYSTEM
  ibrav = 0, nat = 5, ntyp = 3
/
ATOMIC_SPECIES
Zn 65.41 Zn.upf
Ge 72.64 Ge.upf
I 126.90 I.upf
CELL_PARAMETERS angstrom
-2.956 2.956 3.735
2.956 -2.956 3.735
2.956 2.956 -3.735
ATOMIC_POSITIONS crystal
Zn 0.161 0.161 0.000
Zn 0.839 0.839 0.000
Ge 0.500 0.500 0.000
I 0.250 0.750 0.500
I 0.750 0.250 0.500